Record 1
DFT (PBE-GGA) results for Ac2InGePb after structural relaxation.

a = 4.680 Å, b = 7.839 Å, c = 9.772 Å
α = 105.15°, β = 90.00°, γ = 90.00°
Positions (direct):
Ac 0.750 0.751 0.015
Ge 0.250 0.862 0.825
Ge 0.750 0.138 0.175
Pb 0.250 0.721 0.294
Pb 0.750 0.279 0.706
Ac 0.250 0.193 0.406
In 0.250 0.519 0.726
In 0.750 0.481 0.274
Ac 0.250 0.249 0.985
Ac 0.750 0.807 0.594



Record 2
DFT (PBE-GGA) results for Ac3In2GePd9 after structural relaxation.

a = 6.952 Å, b = 6.952 Å, c = 8.800 Å
α = 90.00°, β = 90.00°, γ = 120.00°
Positions (direct):
Pd 0.500 0.000 0.000
Pd 0.266 0.133 0.709
Pd 0.867 0.133 0.709
In 0.333 0.667 0.201
Ac 0.333 0.667 0.712
Pd 0.000 0.500 0.000
Ge 0.000 0.000 0.500
Pd 0.133 0.867 0.291
Pd 0.500 0.500 0.000
Ac 0.667 0.333 0.288
Ac 0.000 0.000 0.000
Pd 0.867 0.734 0.709
In 0.667 0.333 0.799
Pd 0.133 0.266 0.291
Pd 0.734 0.867 0.291



| no. | size of the total moment (Bohr magnetons per cell) | energy (eV/cell) |
| --- | --- | --- |
| 1 | 0.0 | -43.50 |
| 2 | 0.0 | -76.45 |